Model P:
## NiCNF2 (GGA+U)

Data for crystalline NiCNF2 at its relaxed geometry.

Magnetization: 1.27 μB per formula unit

POSCAR file:
```
NiCNF2
1.0
4.4474 0.0000 0.0000
0.0000 4.4474 0.0000
0.0000 0.0000 2.4693
Ni C N F
1 1 1 2
Cartesian
0.0000 0.0000 0.0000
2.2237 2.2237 1.2347
2.2237 2.2237 0.0000
0.0000 2.2237 1.2347
2.2237 0.0000 1.2347
```

=====

Model Q:
## NiCNF2 (GGA+U)

Data for crystalline NiCNF2 at its relaxed geometry.

Magnetization: 1.78 μB per formula unit

POSCAR file:
```
NiCNF2
1.0
3.8128 0.0000 0.0000
0.0000 3.8128 0.0000
0.0000 0.0000 3.9106
Ni C N F
1 1 1 2
Cartesian
0.0000 0.0000 0.0000
1.9064 1.9064 1.9553
0.0000 0.0000 1.9553
0.0000 1.9064 0.0000
1.9064 0.0000 0.0000
```

=====

We find model P to be the most stable, with the next structure 1221 meV/atom higher.